Entry 1:
Below is a relaxed Pu6MnSb10 crystal, with properties calculated at the PBE level.

Output
ΔE_f (raw) (eV/atom): -0.4727
Spin magnetization (μB per cell): 28.385
Total DFT energy (no corrections) (eV/atom): -8.495

Structure (POSCAR):
```
Pu6MnSb10
1.0
-2.9599 -3.6049 3.9592
7.6598 -4.6733 1.4714
-1.9616 7.2459 5.1309
Pu Sb Mn
6 10 1
Direct
0.7489 0.6122 0.0000
0.2511 0.3878 0.0000
0.2511 0.6122 0.6122
0.7489 0.0000 0.6122
0.7489 0.3878 0.3878
0.2511 0.0000 0.3878
0.2420 0.0000 0.7566
0.0000 0.3333 0.6667
0.5000 0.6667 0.3333
0.0000 0.6667 0.3333
0.2420 0.2434 0.2434
0.7580 0.2434 0.0000
0.7580 0.7566 0.7566
0.2420 0.7566 0.0000
0.7580 0.0000 0.2434
0.5000 0.3333 0.6667
0.5000 0.0000 0.0000
```

Entry 2:
Below is a relaxed PuMnSb2 crystal, with properties calculated at the PBE level.

Output
ΔE_f (raw) (eV/atom): -0.0866
Spin magnetization (μB per cell): 9.240
Total DFT energy (no corrections) (eV/atom): -8.023

Structure (POSCAR):
```
PuMnSb2
1.0
3.4656 0.0000 0.0000
0.0000 3.4656 0.0000
0.0000 0.0000 7.6311
Sb Mn Pu
2 1 1
Direct
0.0000 0.0000 0.7868
0.0000 0.0000 0.2132
0.5000 0.5000 0.0000
0.5000 0.5000 0.5000
```